The following is a PBE calculation of a geometry-optimized Zn2NiCl structure, from Alexandria.

Lattice parameters (Å, degrees): 4.1888 4.2593 6.9839 90.00 90.00 90.00
Space group Cmmm (No. 65)
Unique sites:
Zn: 0.0000 0.0000 0.2052 x4
Ni: 0.0000 0.5000 0.0000 x2
Cl: 0.0000 0.5000 0.5000 x2

Computed properties:
VASP energy: -2.654 eV per atom
offset from the most stable computed form: 92.8 meV/atom
formation energy from raw total energies: -111 meV per atom

---

The following is a PBE calculation of a geometry-optimized BaNa17Sr structure, from Alexandria.

Lattice parameters (Å, degrees): 12.0779 12.0779 17.9626 90.00 90.00 120.00
Space group R3m (No. 160, hexagonal axes)
Unique sites:
Ba: 0.0000 0.0000 0.0000 x3
Na: 0.0000 0.0000 0.5591 x3
Na: 0.0000 0.0000 0.7589 x3
Na: 0.0336 0.3656 0.3266 x18
Na: 0.1673 0.3347 0.1414 x9
Na: 0.1685 0.3370 0.4940 x9
Na: 0.1739 0.3478 0.8446 x9
Sr: 0.0000 0.0000 0.3225 x3

Computed properties:
VASP energy: -1.346 eV per atom
calculated formation energy: 0.02 eV/atom

---

The following is a PBE calculation of a geometry-optimized InSICl2 structure, from Alexandria.

Lattice parameters (Å, degrees): 5.6868 5.6868 5.2154 90.00 90.00 90.00
Space group P4/mmm (No. 123)
Unique sites:
In: 0.0000 0.0000 0.0000 x1
S: 0.5000 0.5000 0.0000 x1
I: 0.5000 0.5000 0.5000 x1
Cl: 0.0000 0.5000 0.5000 x2

Computed properties:
VASP energy: -2.399 eV per atom
offset from the most stable computed form: 178.3 meV/atom
formation energy from raw total energies: 23 meV per atom

---

The following is a PBE calculation of a geometry-optimized RbBaCa2Au structure, from Alexandria.

Lattice parameters (Å, degrees): 6.0318 6.0318 6.4811 90.00 90.00 90.00
Space group P4/mmm (No. 123)
Unique sites:
Rb: 0.0000 0.0000 0.0000 x1
Ba: 0.5000 0.5000 0.0000 x1
Ca: 0.0000 0.5000 0.5000 x2
Au: 0.5000 0.5000 0.5000 x1

Computed properties:
VASP energy: -2.293 eV per atom
offset from the most stable computed form: 0.0 meV/atom
calculated formation energy: -0.26 eV/atom

---

The following is a PBE calculation of a geometry-optimized MnBe3B structure, from Alexandria.

Lattice parameters (Å, degrees): 3.5300 3.5300 3.5300 90.00 90.00 90.00
Space group Pm-3m (No. 221)
Unique sites:
Mn: 0.0000 0.0000 0.0000 x1
Be: 0.0000 0.5000 0.5000 x3
B: 0.5000 0.5000 0.5000 x1

Computed properties:
VASP energy: -4.918 eV per atom
offset from the most stable computed form: 0.0 meV/atom
calculated formation energy: 0.49 eV/atom

---

The following is a PBE calculation of a geometry-optimized Sm4HgTeSe2 structure, from Alexandria.

Lattice parameters (Å, degrees): 7.4608 4.1925 7.5550 90.00 108.10 90.00
Space group P2/m (No. 10)
Unique sites:
Sm: 0.2376 0.0000 0.2309 x2
Sm: 0.2526 0.5000 0.7634 x2
Hg: 0.0000 0.0000 0.5000 x1
Te: 0.5000 0.5000 0.5000 x1
Se: 0.0000 0.5000 0.0000 x1
Se: 0.5000 0.0000 0.0000 x1

Computed properties:
VASP energy: -5.026 eV per atom
formation energy from raw total energies: -1365 meV per atom

---

The following is a PBE calculation of a geometry-optimized ZrCdP structure, from Alexandria.

Lattice parameters (Å, degrees): 6.4895 6.4895 6.4895 90.00 90.00 90.00
Space group F-43m (No. 216)
Unique sites:
Zr: 0.0000 0.0000 0.0000 x4
Cd: 0.2500 0.2500 0.2500 x4
P: 0.2500 0.2500 0.7500 x4

Computed properties:
VASP energy: -4.900 eV per atom
offset from the most stable computed form: 452.5 meV/atom
calculated formation energy: 0.06 eV/atom

---

The following is a PBE calculation of a geometry-optimized RbZrP2S structure, from Alexandria.

Lattice parameters (Å, degrees): 5.1328 5.1328 5.1268 90.00 90.00 90.00
Space group P4/mmm (No. 123)
Unique sites:
Rb: 0.0000 0.0000 0.0000 x1
Zr: 0.5000 0.5000 0.5000 x1
P: 0.0000 0.5000 0.5000 x2
S: 0.5000 0.5000 0.0000 x1

Computed properties:
VASP energy: -5.295 eV per atom
offset from the most stable computed form: 0.0 meV/atom
formation energy from raw total energies: -403 meV per atom

---

The following is a PBE calculation of a geometry-optimized CdTc2Ru structure, from Alexandria.

Lattice parameters (Å, degrees): 6.3008 6.3008 6.3008 90.00 90.00 90.00
Space group F-43m (No. 216)
Unique sites:
Cd: 0.0000 0.0000 0.0000 x4
Tc: 0.0000 0.0000 0.5000 x4
Tc: 0.2500 0.2500 0.7500 x4
Ru: 0.2500 0.2500 0.2500 x4

Computed properties:
VASP energy: -7.234 eV per atom
calculated formation energy: 0.50 eV/atom

---

The following is a PBE calculation of a geometry-optimized AcThAl4 structure, from Alexandria.

Lattice parameters (Å, degrees): 8.1990 8.1990 8.1990 90.00 90.00 90.00
Space group F-43m (No. 216)
Unique sites:
Ac: 0.0000 0.0000 0.0000 x4
Th: 0.2500 0.2500 0.7500 x4
Al: 0.1245 0.1245 0.3755 x16

Computed properties:
VASP energy: -4.772 eV per atom
offset from the most stable computed form: 45.1 meV/atom
calculated formation energy: -0.36 eV/atom

---

The following is a PBE calculation of a geometry-optimized RbAs2Ir structure, from Alexandria.

Lattice parameters (Å, degrees): 4.0987 4.0987 25.1288 90.00 90.00 120.00
Space group R-3m (No. 166, hexagonal axes)
Unique sites:
Rb: 0.0000 0.0000 0.0000 x3
As: 0.0000 0.0000 0.1309 x6
Ir: 0.0000 0.0000 0.5000 x3

Computed properties:
VASP energy: -4.833 eV per atom
offset from the most stable computed form: 89.3 meV/atom
calculated formation energy: -0.05 eV/atom

---

The following is a PBE calculation of a geometry-optimized PuPa2Si structure, from Alexandria.

Lattice parameters (Å, degrees): 3.7279 3.7279 6.4620 90.00 90.00 90.00
Space group P4/mmm (No. 123)
Unique sites:
Pu: 0.0000 0.0000 0.0000 x1
Pa: 0.5000 0.5000 0.2750 x2
Si: 0.0000 0.0000 0.5000 x1

Computed properties:
VASP energy: -9.851 eV per atom
offset from the most stable computed form: 129.8 meV/atom
formation energy from raw total energies: -165 meV per atom

---

The following is a PBE calculation of a geometry-optimized Mg3Zn7Se2 structure, from Alexandria.

Lattice parameters (Å, degrees): 5.0739 5.0739 32.4782 90.00 90.00 120.00
Space group R-3m (No. 166, hexagonal axes)
Unique sites:
Mg: 0.0000 0.0000 0.0000 x3
Mg: 0.0000 0.0000 0.1435 x6
Zn: 0.0000 0.0000 0.5000 x3
Zn: 0.0073 0.5037 0.8999 x18
Se: 0.0000 0.0000 0.3645 x6

Computed properties:
VASP energy: -1.850 eV per atom
formation energy from raw total energies: -127 meV per atom

---

The following is a PBE calculation of a geometry-optimized Er6In3Os structure, from Alexandria.

Lattice parameters (Å, degrees): 9.0065 11.6588 5.0687 90.00 90.00 90.00
Space group Pnnm (No. 58)
Unique sites:
Er: 0.0203 0.2355 0.0000 x4
Er: 0.1522 0.0791 0.5000 x4
Er: 0.1999 0.4088 0.5000 x4
In: 0.0000 0.5000 0.0000 x2
In: 0.1471 0.7088 0.5000 x4
Os: 0.0000 0.0000 0.0000 x2

Computed properties:
VASP energy: -5.002 eV per atom
offset from the most stable computed form: 33.8 meV/atom
calculated formation energy: -0.32 eV/atom

---

The following is a PBE calculation of a geometry-optimized NpTl2GaBr6 structure, from Alexandria.

Lattice parameters (Å, degrees): 7.7489 8.4284 13.4318 90.00 122.96 90.00
Space group P2_1/c (No. 14)
Unique sites:
Np: 0.0000 0.0000 0.0000 x2
Tl: 0.2919 0.0848 0.7589 x4
Ga: 0.5000 0.0000 0.5000 x2
Br: 0.1147 0.0450 0.2424 x4
Br: 0.2359 0.7087 0.0637 x4
Br: 0.3583 0.1825 0.0550 x4

Computed properties:
VASP energy: -4.066 eV per atom
formation energy from raw total energies: -992 meV per atom

---

The following is a PBE calculation of a geometry-optimized La2Cu5Rh5 structure, from Alexandria.

Lattice parameters (Å, degrees): 4.0981 5.4020 9.0823 90.00 90.00 90.00
Space group Pmmm (No. 47)
Unique sites:
La: 0.0000 0.0000 0.0000 x1
La: 0.0000 0.5000 0.5000 x1
Cu: 0.0000 0.0000 0.3330 x2
Cu: 0.0000 0.5000 0.1636 x2
Cu: 0.5000 0.5000 0.0000 x1
Rh: 0.5000 0.0000 0.5000 x1
Rh: 0.5000 0.2517 0.2457 x4

Computed properties:
VASP energy: -5.935 eV per atom
calculated formation energy: -0.34 eV/atom

---

The following is a PBE calculation of a geometry-optimized YMgB structure, from Alexandria.

Lattice parameters (Å, degrees): 6.0487 3.2149 6.1227 90.00 98.02 90.00
Space group P2_1/m (No. 11)
Unique sites:
Y: 0.1384 0.2500 0.2796 x2
Mg: 0.3587 0.2500 0.8083 x2
B: 0.4488 0.7500 0.5020 x2

Computed properties:
VASP energy: -5.004 eV per atom
offset from the most stable computed form: 184.8 meV/atom
calculated formation energy: -0.09 eV/atom

---

The following is a PBE calculation of a geometry-optimized Nb10Pt6C structure, from Alexandria.

Lattice parameters (Å, degrees): 8.0125 8.0125 5.1348 90.00 90.00 120.00
Space group P-31m (No. 162)
Unique sites:
Nb: 0.0000 0.2305 0.2429 x6
Nb: 0.3333 0.6667 0.0000 x2
Nb: 0.3333 0.6667 0.5000 x2
Pt: 0.0000 0.4050 0.7477 x6
C: 0.0000 0.0000 0.0000 x1

Computed properties:
VASP energy: -9.127 eV per atom
calculated formation energy: -0.53 eV/atom

---

The following is a PBE calculation of a geometry-optimized Co2TePt structure, from Alexandria.

Lattice parameters (Å, degrees): 5.2795 5.2795 11.8867 90.00 90.00 90.00
Space group I-42d (No. 122)
Unique sites:
Co: 0.2322 0.2500 0.1250 x8
Te: 0.0000 0.0000 0.5000 x4
Pt: 0.0000 0.0000 0.0000 x4

Computed properties:
VASP energy: -5.252 eV per atom
formation energy from raw total energies: 597 meV per atom

---

The following is a PBE calculation of a geometry-optimized Th5Pd structure, from Alexandria.

Lattice parameters (Å, degrees): 5.8773 16.7153 3.6114 90.00 90.00 90.00
Space group Cmmm (No. 65)
Unique sites:
Th: 0.0000 0.0000 0.0000 x2
Th: 0.0000 0.1799 0.5000 x4
Th: 0.0000 0.3596 0.0000 x4
Pd: 0.0000 0.5000 0.5000 x2

Computed properties:
VASP energy: -7.213 eV per atom
calculated formation energy: -0.16 eV/atom

---

The following is a PBE calculation of a geometry-optimized Ti2TlBiPb structure, from Alexandria.

Lattice parameters (Å, degrees): 5.2978 5.2978 6.0853 90.00 90.00 90.00
Space group P4/mmm (No. 123)
Unique sites:
Ti: 0.0000 0.5000 0.0000 x2
Tl: 0.0000 0.0000 0.5000 x1
Bi: 0.5000 0.5000 0.0000 x1
Pb: 0.5000 0.5000 0.5000 x1

Computed properties:
VASP energy: -4.222 eV per atom
calculated formation energy: 0.93 eV/atom

---

The following is a PBE calculation of a geometry-optimized Sm5DyBi4 structure, from Alexandria.

Lattice parameters (Å, degrees): 19.3042 4.4574 8.6695 90.00 105.95 90.00
Space group C2/m (No. 12)
Unique sites:
Sm: 0.0000 0.0000 0.0000 x2
Sm: 0.1635 0.5000 0.3170 x4
Sm: 0.1792 0.5000 0.8515 x4
Dy: 0.0000 0.0000 0.5000 x2
Bi: 0.0088 0.5000 0.7543 x4
Bi: 0.1679 0.0000 0.5833 x4

Computed properties:
VASP energy: -4.904 eV per atom
calculated formation energy: -0.53 eV/atom

---

The following is a PBE calculation of a geometry-optimized IrAuSe2 structure, from Alexandria.

Lattice parameters (Å, degrees): 9.5937 9.8420 14.3144 90.00 98.48 90.00
Space group C2/c (No. 15)
Unique sites:
Ir: 0.0607 0.0756 0.1233 x8
Ir: 0.2444 0.1941 0.7561 x8
Au: 0.0520 0.4641 0.4158 x8
Au: 0.1266 0.3060 0.5901 x8
Se: 0.0000 0.0991 0.7500 x4
Se: 0.0000 0.2272 0.2500 x4
Se: 0.1434 0.0809 0.5050 x8
Se: 0.1613 0.2945 0.0760 x8
Se: 0.1953 0.4553 0.7827 x8

Computed properties:
VASP energy: -4.735 eV per atom
formation energy from raw total energies: 42 meV per atom